No. 1
# Be3InB

A geometry-optimized Be3InB structure (PBE, Alexandria).

As for the energy relative to the lowest polymorph listed for this composition: 0 meV/atom. As for the total magnetization: 0.0 μB per formula unit.

It has space group Pm-3m (No. 221), with a = 3.8896 Å, b = 3.8896 Å, c = 3.8896 Å, α = 90.00°, β = 90.00° and γ = 90.00°. The asymmetric unit holds Be at (0.0000, 0.0000, 0.5000), In at (0.5000, 0.5000, 0.5000) and B at (0.0000, 0.0000, 0.0000).


No. 2
# AcCePrSb

A geometry-optimized AcCePrSb structure (PBE, Alexandria).

As for the total magnetization: 1.4 μB per formula unit. The formation energy from raw total energies comes out at -0.24 eV per atom.

It has space group F-43m (No. 216), with a = 7.9762 Å, b = 7.9762 Å, c = 7.9762 Å, α = 90.00°, β = 90.00° and γ = 90.00°. The asymmetric unit holds Ac at (0.0000, 0.0000, 0.0000), Ce at (0.2500, 0.2500, 0.7500), Pr at (0.2500, 0.2500, 0.2500) and Sb at (0.0000, 0.0000, 0.5000).